A relaxed TbHfIr crystal, computed with PBE.

Structure (POSCAR):
```
TbHfIr
1.0
6.427 0.000 2.932
2.372 7.380 3.309
0.037 0.071 8.428
Hf Ir Tb
6 6 6
Cartesian
6.949 6.503 12.457
4.723 4.671 8.826
5.745 2.779 6.588
1.246 3.725 5.887
3.519 0.947 2.957
0.041 0.000 0.019
3.503 2.487 5.149
0.963 1.239 2.207
4.707 6.212 11.018
5.454 1.898 9.354
2.167 4.963 8.076
6.622 5.553 6.794
2.789 1.898 8.137
7.129 7.104 9.240
2.376 4.002 2.643
1.207 0.347 5.201
5.963 3.449 11.800
3.956 5.553 5.579
```

Output
The total magnetization is 0.000 μB/atom. As for the total energy: -153.411 eV/cell. The calculation puts the calculated formation energy at -204.9 kJ/mol of formula units. As for the density of states at the Fermi level: 1.1748 states/eV/atom.


A relaxed Er2AlAu6 crystal, computed with PBE.

Structure (POSCAR):
```
Er2AlAu6
1.0
5.338 0.000 0.000
0.000 5.445 -3.144
0.000 0.000 6.288
Au Al Er
6 1 2
Cartesian
1.059 3.470 3.144
4.280 4.458 1.433
4.280 1.975 0.000
1.059 0.988 4.577
1.059 0.988 1.711
4.280 4.458 -1.433
2.669 0.000 0.000
3.612 1.815 3.144
1.726 3.630 0.000
```

Output
The total magnetization is 0.000 μB/atom. As for the total energy: -38.307 eV/cell. The calculation puts the calculated formation energy at -557.2 kJ/mol of formula units. As for the density of states at the Fermi level: 0.4242 states/eV/atom.


A relaxed Ni2MoOs crystal, computed with PBE.

Structure (POSCAR):
```
Ni2MoOs
1.0
-2.711 -1.619 -0.091
0.225 -0.201 -3.145
2.660 -4.482 0.477
Mo Ni Os
1 2 1
Cartesian
0.752 -4.271 -1.260
1.327 -2.236 0.238
0.003 -0.005 0.001
-0.578 -2.030 -1.499
```

Output
The total magnetization is 0.003 μB/atom. As for the total energy: -32.724 eV/cell. The calculation puts the calculated formation energy at 86.7 kJ/mol of formula units. As for the density of states at the Fermi level: 1.2954 states/eV/atom.


A relaxed Pr4YAg crystal, computed with PBE.

Structure (POSCAR):
```
Pr4YAg
1.0
3.720 -0.001 0.000
0.001 3.720 0.000
0.000 0.000 14.180
Ag Y Pr
1 1 4
Cartesian
1.860 1.859 7.090
0.000 0.000 0.000
3.720 3.718 9.049
1.860 1.859 11.663
1.860 1.859 2.517
0.000 0.000 5.131
```

Output
The total magnetization is 0.000 μB/atom. As for the total energy: -28.811 eV/cell. The calculation puts the calculated formation energy at -36.5 kJ/mol of formula units. As for the density of states at the Fermi level: 1.5587 states/eV/atom.


A relaxed Te2PdI crystal, computed with PBE.

Structure (POSCAR):
```
Te2PdI
1.0
7.512 0.000 0.000
0.000 7.512 0.000
3.756 3.756 4.799
Te Pd I
4 2 2
Cartesian
2.442 5.634 1.200
5.634 6.198 3.599
5.070 1.878 1.200
9.390 8.827 3.599
3.756 3.756 0.000
3.756 7.512 2.399
7.512 3.756 2.399
0.000 0.000 0.000
```

Output
The total magnetization is 0.000 μB/atom. As for the total energy: -25.255 eV/cell. The calculation puts the formation energy without anion corrections at 0.0997 eV per atom. As for the density of states at the Fermi level: 1.0961 states/eV/atom.


A relaxed Y2SbRu crystal, computed with PBE.

Structure (POSCAR):
```
Y2SbRu
1.0
4.134 0.000 0.000
0.000 4.249 0.001
0.000 2.123 5.550
Y Sb Ru
2 1 1
Cartesian
2.067 1.859 1.943
0.000 6.106 5.161
2.067 3.982 4.280
0.000 3.984 2.493
```

Output
The total magnetization is 0.000 μB/atom. As for the total energy: -28.872 eV/cell. The calculation puts the formation energy without anion corrections at -0.6363 eV per atom. As for the density of states at the Fermi level: 0.7767 states/eV/atom.


A relaxed Nd2U3Ru4 crystal, computed with PBE.

Structure (POSCAR):
```
Nd2U3Ru4
1.0
-3.224 -1.919 5.769
3.515 -7.479 3.581
0.778 6.109 6.571
Ru U Nd
8 6 4
Cartesian
0.756 -2.132 1.755
-1.826 -0.467 9.075
0.312 -1.156 14.167
0.588 -0.290 10.483
2.894 -2.822 6.846
2.635 -3.678 10.500
-1.566 0.390 5.422
0.480 -2.998 5.439
1.451 -5.691 11.232
0.801 -2.466 11.941
0.152 0.758 12.651
0.917 -4.047 3.271
0.267 -0.822 3.980
-0.382 2.402 4.690
0.838 -0.116 7.248
2.726 -6.601 4.824
-1.657 3.313 11.098
0.230 -3.172 8.674
```

Output
The total magnetization is 0.416 μB/atom. As for the total energy: -160.815 eV/cell. The calculation puts the calculated formation energy at 9.3 kJ/mol of formula units. As for the density of states at the Fermi level: 1.6633 states/eV/atom.


- Which of these has the highest total energy?
  Te2PdI


- Among the records above, which one has the lowest total energy?
  Nd2U3Ru4


- The highest total energy belongs to which entry?
  Te2PdI


- What is the formula in the second record?
  Er2AlAu6